# 1
# TaHg2Cl

A relaxed structure of TaHg2Cl (PBE-GGA, Alexandria via LeMat-Bulk).

Cell: 5.4442 5.4442 3.0424 Å, 90.00 90.00 114.54°
Last column: nearest neighbours and their distance in Å.
Atoms (fractional coordinates):
1 Ta 0.0000 0.0000 0.0000  2 Cl 2.94, 2 Ta 3.04, 8 Hg 3.12
2 Hg 0.0000 0.5000 0.5000  4 Hg 2.94-3.04, 4 Cl 3.12, 4 Ta 3.12
3 Hg 0.5000 0.0000 0.5000  4 Hg 2.94-3.04, 4 Ta 3.12, 4 Cl 3.12
4 Cl 0.5000 0.5000 0.0000  2 Ta 2.94, 2 Cl 3.04, 8 Hg 3.12

Computed properties:
E above lowest polymorph ... 451 meV per atom
Formation energy without anion corrections ... 0.31 eV per atom
Fermi-level density of states ... 3.140 states/eV per cell
Energy ... -3.27 eV per atom


# 2
# TlZnRe3

A relaxed structure of TlZnRe3 (PBE-GGA, Alexandria via LeMat-Bulk).

Cell: 4.5634 4.5634 4.5634 Å, 90.00 90.00 90.00°
Last column: nearest neighbours and their distance in Å.
Atoms (fractional coordinates):
1 Tl 0.0000 0.0000 0.0000  12 Re 3.23
2 Zn 0.5000 0.5000 0.5000  6 Re 2.28
3 Re 0.0000 0.5000 0.5000  2 Zn 2.28
4 Re 0.5000 0.0000 0.5000  2 Zn 2.28
5 Re 0.5000 0.5000 0.0000  2 Zn 2.28

Computed properties:
Energy of formation from the pure elements ... 2.123 eV/atom
E above lowest polymorph ... 0 meV per atom
Fermi-level density of states ... 7.041 states/eV per cell
Energy ... -6.07 eV per atom


# 3
# LiGd2Zn

A relaxed structure of LiGd2Zn (PBE-GGA, Alexandria via LeMat-Bulk).

Cell: 3.6592 3.6592 7.3697 Å, 90.00 90.00 90.00°
Last column: nearest neighbours and their distance in Å.
Atoms (fractional coordinates):
1 Li 0.0000 0.0000 0.0000  8 Gd 3.25
2 Gd 0.5000 0.5000 0.2674  4 Zn 3.10, 4 Li 3.25, 1 Gd 3.43
3 Gd 0.5000 0.5000 0.7326  4 Zn 3.10, 4 Li 3.25, 1 Gd 3.43
4 Zn 0.0000 0.0000 0.5000  8 Gd 3.10

Computed properties:
Energy of formation from the pure elements ... -0.138 eV/atom
E above lowest polymorph ... 0 meV per atom
Fermi-level density of states ... 3.539 states/eV per cell
Energy ... -7.98 eV per atom


Repeat the second record exactly.
# TlZnRe3

A relaxed structure of TlZnRe3 (PBE-GGA, Alexandria via LeMat-Bulk).

Cell: 4.5634 4.5634 4.5634 Å, 90.00 90.00 90.00°
Last column: nearest neighbours and their distance in Å.
Atoms (fractional coordinates):
1 Tl 0.0000 0.0000 0.0000  12 Re 3.23
2 Zn 0.5000 0.5000 0.5000  6 Re 2.28
3 Re 0.0000 0.5000 0.5000  2 Zn 2.28
4 Re 0.5000 0.0000 0.5000  2 Zn 2.28
5 Re 0.5000 0.5000 0.0000  2 Zn 2.28

Computed properties:
Energy of formation from the pure elements ... 2.123 eV/atom
E above lowest polymorph ... 0 meV per atom
Fermi-level density of states ... 7.041 states/eV per cell
Energy ... -6.07 eV per atom


- The highest E above lowest polymorph belongs to which entry?
  TaHg2Cl


- Among the records above, which one has the highest Fermi-level density of states?
  TlZnRe3